1.
10
Lattice="6.4017 -0.1940 0.0007 -2.3543 5.9563 0.0007 -2.0130 -2.8659 5.5443" Properties=species:S:1:pos:R:3 comment="TlNi2Se2 (PBE, relaxed)" e_form_raw_ev_per_fu=-1.002 e_above_lowest_polymorph_ev_per_fu=0.34 dos_ef_per_ev_fu=4.2 pbc="T T T"
Tl 2.6221 1.4023 4.1592
Tl -0.5877 1.4941 1.3864
Ni 0.5888 -1.4833 2.8350
Ni 1.4351 4.3648 0.0635
Ni 1.4456 4.3797 2.7106
Ni 0.5994 -1.4683 5.4821
Se -1.0032 -0.3539 4.1585
Se 2.1963 -0.4613 1.3864
Se -0.1618 3.3577 4.1592
Se 3.0377 3.2503 1.3871

2.
12
Lattice="5.2008 0.0000 0.0000 0.0000 5.4107 0.6022 0.0000 -1.2896 5.2891" Properties=species:S:1:pos:R:3 comment="V3Ga2H (PBE, relaxed)" e_tot_ev_per_atom=-6.098 dos_ef_per_ev_fu=5.9 pbc="T T T"
V 0.0000 -0.3159 4.6080
V 2.6004 -0.3159 4.6080
V 1.3002 2.6710 3.8184
V 3.9006 1.4501 2.0729
V 2.6004 4.4370 1.2833
V 0.0000 4.4370 1.2833
Ga 3.9006 1.8321 4.7697
Ga 1.3002 0.2687 2.5348
Ga 1.3002 2.2890 1.1216
Ga 3.9006 3.8524 3.3565
H 1.3002 3.7431 5.3510
H 3.9006 0.3779 0.5403

3.
5
Lattice="-2.0123 -3.0280 -2.2446 4.2946 -3.1765 0.4348 -1.5760 -1.6354 3.6191" Properties=species:S:1:pos:R:3 comment="RbSnMoN2 (PBE, relaxed)" e_form_raw_ev_per_fu=15.831 dos_ef_per_ev_fu=9.3 pbc="T T T"
Mo 2.1473 -1.5882 0.2174
Sn 0.3531 -3.9199 0.9047
Rb 0.0000 0.0000 0.0000
N -0.7880 -0.8177 1.8096
N -1.0062 -1.5140 -1.1223

4.
4
Lattice="4.0047 0.0000 0.0000 0.0000 4.0047 0.0000 0.0000 0.0000 8.7660" Properties=species:S:1:pos:R:3 comment="Ba2PtI (PBE, relaxed)" e_form_raw_ev_per_fu=-4.130 e_above_lowest_polymorph_ev_per_fu=0.45 dos_ef_per_ev_fu=2.0 pbc="T T T"
I 2.0023 2.0023 4.3830
Ba 0.0000 0.0000 6.9455
Ba 0.0000 0.0000 1.8204
Pt 2.0023 2.0023 0.0000

5.
6
Lattice="-1.9132 -1.0755 -5.5029 3.8640 -1.4583 -4.2475 0.1002 -5.5217 -2.1448" Properties=species:S:1:pos:R:3 comment="NaDyCd4 (PBE, relaxed)" e_above_lowest_polymorph_ev_per_fu=0.08 dos_ef_per_ev_fu=3.3 pbc="T T T"
Na 0.5128 -2.0139 -2.9738
Cd 1.2320 -2.2724 -6.3625
Cd -0.6515 -4.3057 -5.3102
Cd 1.2821 -5.0355 -7.4357
Cd 2.2395 -4.4973 -4.6820
Dy 0.0000 0.0000 0.0000

6.
12
Lattice="4.4328 0.0158 -1.2920 -1.1426 7.3529 -3.8306 -0.0904 -0.6444 7.9327" Properties=species:S:1:pos:R:3 comment="ErCd6Ag5 (PBE, relaxed)" e_above_lowest_polymorph_ev_per_fu=0.00 dos_ef_per_ev_fu=4.2 pbc="T T T"
Er 0.0000 0.0000 0.0000
Ag 2.6961 0.9458 1.0113
Ag 0.9590 1.8751 3.3133
Ag -0.5713 3.6764 -1.9153
Ag 2.2408 4.8491 -0.5031
Ag 0.5037 5.7784 1.7989
Cd 2.9877 3.6631 2.0451
Cd 3.4995 0.3698 3.7607
Cd 1.3910 5.3192 -3.4130
Cd 1.8992 2.0495 -1.7096
Cd -0.2997 6.3545 -0.9506
Cd 0.2121 3.0612 0.7651

7.
9
Lattice="-3.2614 -4.4419 2.8456 -1.2570 -4.0423 -7.7507 10.0782 -0.6701 3.7464" Properties=species:S:1:pos:R:3 comment="Cs2KPbI5 (PBE, relaxed)" e_form_raw_ev_per_fu=-10.582 dos_ef_per_ev_fu=0.0 pbc="T T T"
Cs 3.1792 -1.9973 0.5261
Cs 2.3806 -7.1570 -1.6848
K -0.6285 -2.0212 -3.8754
Pb -1.6307 -2.2210 1.4228
I -0.6121 -6.4516 -4.0138
I 6.1719 -2.7027 2.8550
I 5.5607 -4.6682 -0.9136
I -0.0009 -4.4861 -0.2452
I 0.0000 0.0000 0.0000

8.
4
Lattice="-0.6995 3.0762 1.0534 -1.8904 -1.9333 -1.9367 -4.9121 -4.1918 8.9795" Properties=species:S:1:pos:R:3 comment="BeAuCl2 (PBE, relaxed)" e_form_raw_ev_per_fu=-1.875 e_above_lowest_polymorph_ev_per_fu=0.67 dos_ef_per_ev_fu=0.2 pbc="T T T"
Be -4.9791 -2.5724 6.2929
Au -2.5230 -0.4765 1.8032
Cl -4.3315 -3.6963 7.9180
Cl -3.0367 -2.5914 5.5512

9.
4
Lattice="-5.4614 1.0953 4.6109 -6.6571 -1.4693 2.4106 -4.5114 -2.3181 5.1536" Properties=species:S:1:pos:R:3 comment="Sc2PtRh (PBE, relaxed)" e_tot_ev_per_atom=-7.259 dos_ef_per_ev_fu=2.4 pbc="T T T"
Pt -4.1575 -0.6730 3.0438
Rh -12.4724 -2.0191 9.1313
Sc -0.0381 -0.0062 0.0279
Sc -8.2768 -1.3399 6.0596

10.
9
Lattice="3.6976 0.0000 0.0000 -1.8488 9.5710 -0.5051 0.0000 -3.7932 9.0643" Properties=species:S:1:pos:R:3 comment="PmPr2Nd4Y2 (PBE, relaxed)" e_tot_ev_per_atom=-5.142 dos_ef_per_ev_fu=12.3 pbc="T T T"
Pm 0.0000 0.0000 0.0000
Pr 0.0000 6.3826 -0.3309
Pr 1.8488 -0.6048 8.8901
Nd 1.8488 3.4887 5.7215
Nd 0.0000 2.2890 2.8378
Nd 1.8488 -0.9192 3.0171
Nd 0.0000 6.6970 5.5422
Y 1.8488 5.4766 2.6664
Y 0.0000 0.3012 5.8929

11.
16
Lattice="4.9997 0.0000 0.0000 0.0000 4.9997 0.0000 0.0000 0.0000 19.9661" Properties=species:S:1:pos:R:3 comment="CePr3Tm12 (PBE, relaxed)" e_tot_ev_per_atom=-4.581 dos_ef_per_ev_fu=25.2 pbc="T T T"
Ce 0.0000 0.0000 0.0000
Pr 0.0000 0.0000 4.9436
Pr 0.0000 0.0000 9.9830
Pr 0.0000 0.0000 15.0225
Tm 2.4999 2.4999 0.0000
Tm 2.4999 2.4999 4.9724
Tm 2.4999 2.4999 9.9830
Tm 2.4999 2.4999 14.9937
Tm 2.4999 0.0000 2.4352
Tm 2.4999 0.0000 7.4701
Tm 2.4999 0.0000 12.4960
Tm 2.4999 0.0000 17.5309
Tm 0.0000 2.4999 2.4352
Tm 0.0000 2.4999 7.4701
Tm 0.0000 2.4999 12.4960
Tm 0.0000 2.4999 17.5309

12.
10
Lattice="-1.7303 2.4008 6.6063 -6.8935 0.7501 -2.0781 -0.8185 -4.0443 1.2554" Properties=species:S:1:pos:R:3 comment="La2OsPt2 (PBE, relaxed)" e_tot_ev_per_atom=-7.138 dos_ef_per_ev_fu=4.6 pbc="T T T"
Os 0.0000 0.0000 0.0000
Os -4.3119 1.5755 2.2641
Pt -6.5998 1.5271 0.6166
Pt -5.8709 2.5541 4.4003
Pt -2.0240 1.6238 3.9117
Pt -2.7529 0.5969 0.1280
La -5.4040 -1.0815 0.4015
La -7.2411 0.2247 3.4116
La -4.0383 0.1881 5.3822
La -2.2012 -1.1180 2.3720

13.
10
Lattice="3.6185 0.0000 0.0000 0.0000 3.6185 0.0000 0.0000 0.0000 24.0072" Properties=species:S:1:pos:R:3 comment="Pr4Tm5Hg (PBE, relaxed)" e_tot_ev_per_atom=-4.257 dos_ef_per_ev_fu=13.3 pbc="T T T"
Pr 0.0000 0.0000 4.4491
Pr 0.0000 0.0000 9.4962
Pr 0.0000 0.0000 14.5110
Pr 0.0000 0.0000 19.5581
Tm 1.8092 1.8092 1.9140
Tm 1.8092 1.8092 6.9714
Tm 1.8092 1.8092 12.0036
Tm 1.8092 1.8092 17.0358
Tm 1.8092 1.8092 22.0932
Hg 0.0000 0.0000 0.0000

14.
5
Lattice="-1.0955 2.2792 -3.4153 -1.5669 -3.4994 -1.8326 -8.0574 0.7844 0.4641" Properties=species:S:1:pos:R:3 comment="CsHf2N2 (PBE, relaxed)" e_form_raw_ev_per_fu=-4.389 e_above_lowest_polymorph_ev_per_fu=0.00 dos_ef_per_ev_fu=2.9 pbc="T T T"
Cs 0.0000 0.0000 0.0000
Hf -5.2421 1.2267 -2.7876
Hf -5.4778 -1.6625 -1.9962
N -5.0543 0.1618 -0.9147
N -5.6655 -0.5976 -3.8692

15.
4
Lattice="3.8600 0.0000 0.0000 0.0000 3.8600 0.0000 0.0000 0.0000 8.1310" Properties=species:S:1:pos:R:3 comment="AcPmTlAg (PBE, relaxed)" e_above_lowest_polymorph_ev_per_fu=0.00 dos_ef_per_ev_fu=4.6 pbc="T T T"
Ac 0.0000 0.0000 6.8790
Pm 0.0000 0.0000 3.0249
Tl 1.9300 1.9300 1.0513
Ag 1.9300 1.9300 4.7211

16.
5
Lattice="-0.1793 2.9509 4.2957 -1.1028 -3.9645 2.6773 5.0783 -0.8671 0.8077" Properties=species:S:1:pos:R:3 comment="Hf2CdReH (PBE, relaxed)" e_tot_ev_per_atom=-4.851 dos_ef_per_ev_fu=9.6 pbc="T T T"
Re -0.5514 -1.9822 1.3387
Hf 2.5391 -0.4336 0.4038
Hf -0.0897 1.4754 2.1478
H 1.8981 -0.9404 3.8903
Cd 0.0000 0.0000 0.0000

17.
11
Lattice="6.6286 -0.1527 -0.2246 -3.2002 5.8070 0.2246 -3.2002 -1.9261 5.4828" Properties=species:S:1:pos:R:3 comment="TmZn6Pd4 (PBE, relaxed)" e_tot_ev_per_atom=-3.343 dos_ef_per_ev_fu=4.0 pbc="T T T"
Tm 0.0000 0.0000 0.0000
Zn -4.4967 4.0364 3.1192
Zn -4.4967 1.4167 4.9005
Zn 3.5635 0.3960 0.5823
Zn 1.7142 -1.0394 2.6291
Zn -0.7423 1.7599 2.5882
Zn 1.7142 2.8271 0.0000
Pd -2.7188 0.2033 3.4072
Pd 1.6656 1.4114 2.0757
Pd -2.7188 3.0938 1.4417
Pd -2.4001 2.9005 4.2657

18.
4
Lattice="9.6042 0.0534 0.0313 9.1500 2.9192 0.0313 9.1500 1.4503 2.5337" Properties=species:S:1:pos:R:3 comment="Ir2AuCl (PBE, relaxed)" e_form_raw_ev_per_fu=1.606 e_above_lowest_polymorph_ev_per_fu=0.30 dos_ef_per_ev_fu=4.0 pbc="T T T"
Ir 27.8247 4.4103 2.5890
Ir 7.2437 1.1482 0.6740
Au 14.2295 2.2554 1.3240
Cl 20.4623 3.2434 1.9039

19.
8
Lattice="-1.8292 -4.0638 0.6080 1.5822 -1.8182 -7.3932 6.0152 -2.0466 4.4180" Properties=species:S:1:pos:R:3 comment="Ba2NaPmSe4 (PBE, relaxed)" e_form_raw_ev_per_fu=-14.463 pbc="T T T"
Ba 2.0930 -3.0552 2.5130
Ba 3.7987 -1.9324 -1.4876
Na -0.1235 -2.9410 -3.3926
Pm 0.0000 0.0000 0.0000
Se 0.7829 -2.9075 -0.4412
Se 4.9853 -5.0212 -1.9260
Se 5.0339 -2.0240 1.6165
Se 2.5635 -1.8408 -4.5917

20.
5
Lattice="-2.8249 -0.1781 3.7850 -0.7762 -4.5938 -0.7955 3.7089 -1.0971 2.7164" Properties=species:S:1:pos:R:3 comment="RuRh3Br (PBE, relaxed)" e_form_raw_ev_per_fu=6.850 e_above_lowest_polymorph_ev_per_fu=0.00 dos_ef_per_ev_fu=7.9 pbc="T T T"
Ru 0.0000 0.0000 0.0000
Rh -0.3881 -2.2969 -0.3978
Rh 1.8544 -0.5485 1.3582
Rh -1.4124 -0.0891 1.8925
Br 0.0539 -2.9345 2.8530